# Re2Ir4Rh3

A geometry-optimized Re2Ir4Rh3 structure (PBE, Alexandria via LeMat-Bulk).

Lattice parameters (Å, degrees): 3.8839 6.1201 6.1055 107.54 108.55 90.00
With the nearest neighbours (Å) after each atom.
Positions (direct):
Re  0.3291  0.9970  0.6583  5 Rh 2.67-2.77, 5 Ir 2.68-2.75, 2 Re 2.68
Re  0.6709  0.0030  0.3417  5 Rh 2.67-2.77, 5 Ir 2.68-2.75, 2 Re 2.68
Ir  0.5556  0.3262  0.1112  6 Rh 2.71-2.78, 2 Re 2.72-2.75, 4 Ir 2.72-2.81
Ir  0.7804  0.6783  0.5609  4 Rh 2.68-2.78, 3 Re 2.68, 5 Ir 2.72-2.84
Ir  0.4444  0.6738  0.8888  6 Rh 2.71-2.78, 2 Re 2.72-2.75, 4 Ir 2.72-2.81
Ir  0.2196  0.3217  0.4391  4 Rh 2.68-2.78, 3 Re 2.68, 5 Ir 2.72-2.84
Rh  0.8876  0.3319  0.7752  3 Re 2.67-2.75, 7 Ir 2.74-2.78, 2 Rh 2.74-2.76
Rh  0.1124  0.6681  0.2248  3 Re 2.67-2.75, 7 Ir 2.74-2.78, 2 Rh 2.74-2.76
Rh  0.0000  0.0000  0.0000  6 Ir 2.68-2.71, 2 Rh 2.74, 4 Re 2.77

The value obtained for the formation energy is -104.7 meV per atom. Its space group is C2/m, No. 12. The calculation puts the raw total energy at -9.26 eV/atom.